(1)
A relaxed structure of SbTeOs, computed with PBE.

Values from the calculation:
Energy above the most stable polymorph in this dataset in eV per atom: 0.123
Energy relative to the elements, uncorrected in eV/atom: 0.04
Calculated total energy in eV/cell: -294.11
Spin magnetization in μB per formula unit: 0.0

abc: 11.0843 13.1649 7.6766
angles: 90.00 90.00 90.00
Space group Fdd2 (No. 43)
Unique sites:
Sb 0.1008 0.0699 0.0000 (multiplicity 16)
Te 0.1074 0.0686 0.5011 (multiplicity 16)
Os 0.0017 0.2476 0.5007 (multiplicity 16)


(2)
A relaxed structure of SbTeOs, computed with PBE.

Values from the calculation:
Energy above the most stable polymorph in this dataset in eV per atom: 0.000
Energy relative to the elements, uncorrected in eV/atom: -0.09
Calculated total energy in eV/cell: -75.01
Spin magnetization in μB per formula unit: 0.0

abc: 6.6999 6.5960 6.7700
angles: 90.00 113.86 90.00
Space group P2_1/c (No. 14)
Unique sites:
Sb 0.1395 0.1405 0.3855 (multiplicity 4)
Te 0.3466 0.6348 0.6831 (multiplicity 4)
Os 0.2763 0.0012 0.7956 (multiplicity 4)